# PBE-GGA SrMgTa2, optimized geometry
# - Energy of formation from the pure elements: 780 meV per atom
# - N(E_F): 0.840 states/eV/atom
data_SrMgTa2
_space_group_name_H-M_alt 'P 4/m m m'
_space_group_IT_number 123
_space_group_name_Hall '-P 4 2'
_cell_length_a 2.955
_cell_length_b 2.955
_cell_length_c 10.181
_cell_angle_alpha 90.00
_cell_angle_beta 90.00
_cell_angle_gamma 90.00
loop_
_atom_site_label
_atom_site_type_symbol
_atom_site_fract_x
_atom_site_fract_y
_atom_site_fract_z
Sr1 Sr 0.000 0.000 0.000
Mg1 Mg 0.000 0.000 0.500
Ta1 Ta 0.500 0.500 0.287


# PBE-GGA Ho2ZnGe3Ir4, optimized geometry
# - Energy of formation from the pure elements: -706 meV per atom
# - N(E_F): 0.631 states/eV/atom
data_Ho2ZnGe3Ir4
_space_group_name_H-M_alt 'P -4 m 2'
_space_group_IT_number 115
_space_group_name_Hall 'P -4 -2'
_cell_length_a 4.145
_cell_length_b 4.145
_cell_length_c 10.462
_cell_angle_alpha 90.00
_cell_angle_beta 90.00
_cell_angle_gamma 90.00
loop_
_atom_site_label
_atom_site_type_symbol
_atom_site_fract_x
_atom_site_fract_y
_atom_site_fract_z
Ho1 Ho 0.000 0.500 0.248
Zn1 Zn 0.000 0.000 0.500
Ge1 Ge 0.000 0.500 0.869
Ge2 Ge 0.500 0.500 0.500
Ir1 Ir 0.000 0.000 0.000
Ir2 Ir 0.000 0.500 0.638
Ir3 Ir 0.500 0.500 0.000


# PBE-GGA BaInIBr4, optimized geometry
# - N(E_F): 0.000 states/eV/atom
# - Raw formation energy: -1261.9 meV/atom
data_BaInIBr4
_space_group_name_H-M_alt 'C 1 2/m 1'
_space_group_IT_number 12
_space_group_name_Hall '-C 2y'
_cell_length_a 13.016
_cell_length_b 10.628
_cell_length_c 9.809
_cell_angle_alpha 90.00
_cell_angle_beta 103.96
_cell_angle_gamma 90.00
loop_
_atom_site_label
_atom_site_type_symbol
_atom_site_fract_x
_atom_site_fract_y
_atom_site_fract_z
Ba1 Ba 0.201 0.000 0.104
In1 In 0.142 0.500 0.274
I1 I 0.027 0.000 0.790
Br1 Br 0.047 0.500 0.698
Br2 Br 0.165 0.321 0.104
Br3 Br 0.221 0.000 0.498


# PBE-GGA Na2LiIn2Bi2, optimized geometry
# - Energy of formation from the pure elements: -168 meV per atom
# - N(E_F): 0.253 states/eV/atom
data_Na2LiIn2Bi2
_space_group_name_H-M_alt 'R -3 m'
_space_group_IT_number 166
_space_group_name_Hall '-R 3 2"'
_cell_length_a 5.3450
_cell_length_b 5.3450
_cell_length_c 23.4888
_cell_angle_alpha 90.00
_cell_angle_beta 90.00
_cell_angle_gamma 120.00
loop_
_atom_site_label
_atom_site_type_symbol
_atom_site_fract_x
_atom_site_fract_y
_atom_site_fract_z
Na1 Na 0.0000 0.0000 0.1379
Li1 Li 0.0000 0.0000 0.0000
In1 In 0.0000 0.0000 0.4273
Bi1 Bi 0.0000 0.0000 0.2789


# PBE-GGA Nd2Si3Au5, optimized geometry
# - N(E_F): 0.420 states/eV/atom
# - Raw formation energy: -443.6 meV/atom
# - Energy relative to the lowest polymorph listed for this composition: 0.145 eV per atom
data_Nd2Si3Au5
_space_group_name_H-M_alt 'P -4 m 2'
_space_group_IT_number 115
_space_group_name_Hall 'P -4 -2'
_cell_length_a 4.320
_cell_length_b 4.320
_cell_length_c 10.927
_cell_angle_alpha 90.00
_cell_angle_beta 90.00
_cell_angle_gamma 90.00
loop_
_atom_site_label
_atom_site_type_symbol
_atom_site_fract_x
_atom_site_fract_y
_atom_site_fract_z
Nd1 Nd 0.000 0.500 0.245
Si1 Si 0.000 0.000 0.000
Si2 Si 0.000 0.500 0.881
Au1 Au 0.000 0.000 0.500
Au2 Au 0.000 0.500 0.666
Au3 Au 0.500 0.500 0.000
Au4 Au 0.500 0.500 0.500


# PBE-GGA Fe3AsSe, optimized geometry
# - N(E_F): 1.353 states/eV/atom
# - Raw formation energy: 758.3 meV/atom
# - Energy relative to the lowest polymorph listed for this composition: 0.000 eV per atom
data_Fe3AsSe
_space_group_name_H-M_alt 'P m -3 m'
_space_group_IT_number 221
_space_group_name_Hall '-P 4 2 3'
_cell_length_a 4.463
_cell_length_b 4.463
_cell_length_c 4.463
_cell_angle_alpha 90.00
_cell_angle_beta 90.00
_cell_angle_gamma 90.00
loop_
_atom_site_label
_atom_site_type_symbol
_atom_site_fract_x
_atom_site_fract_y
_atom_site_fract_z
Fe1 Fe 0.000 0.000 0.500
As1 As 0.000 0.000 0.000
Se1 Se 0.500 0.500 0.500


# PBE-GGA PmMgRh, optimized geometry
# - Energy of formation from the pure elements: -505 meV per atom
# - N(E_F): 0.570 states/eV/atom
# - Energy relative to the lowest polymorph listed for this composition: 0.113 eV per atom
data_PmMgRh
_space_group_name_H-M_alt 'P n m a'
_space_group_IT_number 62
_space_group_name_Hall '-P 2ac 2n'
_cell_length_a 5.455
_cell_length_b 4.896
_cell_length_c 10.212
_cell_angle_alpha 90.00
_cell_angle_beta 90.00
_cell_angle_gamma 90.00
loop_
_atom_site_label
_atom_site_type_symbol
_atom_site_fract_x
_atom_site_fract_y
_atom_site_fract_z
Pm1 Pm 0.147 0.250 0.118
Mg1 Mg 0.113 0.750 0.336
Rh1 Rh 0.156 0.250 0.442


# PBE-GGA ZnO, optimized geometry
# - N(E_F): 0.000 states/eV/atom
# - Raw formation energy: -1430.1 meV/atom
data_ZnO
_space_group_name_H-M_alt 'P 63 m c'
_space_group_IT_number 186
_space_group_name_Hall 'P 6c -2c'
_cell_length_a 3.2805
_cell_length_b 3.2805
_cell_length_c 10.6554
_cell_angle_alpha 90.00
_cell_angle_beta 90.00
_cell_angle_gamma 120.00
loop_
_atom_site_label
_atom_site_type_symbol
_atom_site_fract_x
_atom_site_fract_y
_atom_site_fract_z
Zn1 Zn 0.0000 0.0000 0.0000
Zn2 Zn 0.3333 0.6667 0.2498
O1 O 0.0000 0.0000 0.3113
O2 O 0.3333 0.6667 0.0615